<a>
Here is a relaxed TaAgSeBr2 crystal from Alexandria via LeMat-Bulk. Energies are from PBE-GGA.

Lattice parameters (Å, degrees): 5.1121 5.1121 5.1819 90.00 90.00 90.00
Last column: magnetic moment on the atom in μB.
Element x y z (fractional)
Se: 0.0000 0.0000 0.5000  0.17
Br: 0.0000 0.5000 0.0000  0.04
Br: 0.5000 0.0000 0.0000  0.04
Ag: 0.0000 0.0000 0.0000  0.01
Ta: 0.5000 0.5000 0.5000  -2.12

spin magnetization = 2.862 μB/f.u.
volume = 135 Å³ per cell

***

<b>
Here is a relaxed TaAgSeBr2 crystal from Alexandria via LeMat-Bulk. Energies are from PBE-GGA.

Lattice parameters (Å, degrees): 5.1736 5.1736 5.0302 90.00 90.00 90.00
Last column: magnetic moment on the atom in μB.
Element x y z (fractional)
Se: 0.0000 0.0000 0.5000  0.00
Br: 0.0000 0.5000 0.0000  0.00
Br: 0.5000 0.0000 0.0000  0.00
Ag: 0.5000 0.5000 0.5000  0.01
Ta: 0.0000 0.0000 0.0000  0.11

spin magnetization = 0.171 μB/f.u.
volume = 135 Å³ per cell

***

Computed energies relative to the best structure, in meV per atom: <a> 989; <b> 0

***

<a>
Here is a relaxed TcAgSeBr2 crystal from Alexandria via LeMat-Bulk. Energies are from PBE-GGA.

Lattice parameters (Å, degrees): 5.1546 5.1546 5.3067 90.00 90.00 90.00
Last column: magnetic moment on the atom in μB.
Element x y z (fractional)
Br: 0.0000 0.5000 0.0000  0.07
Br: 0.5000 0.0000 0.0000  0.07
Se: 0.0000 0.0000 0.5000  0.10
Tc: 0.5000 0.5000 0.5000  4.08
Ag: 0.0000 0.0000 0.0000  0.01

spin magnetization = 5.073 μB/f.u.
volume = 141 Å³ per cell

***

<b>
Here is a relaxed TcAgSeBr2 crystal from Alexandria via LeMat-Bulk. Energies are from PBE-GGA.

Lattice parameters (Å, degrees): 5.3097 5.3097 4.6793 90.00 90.00 90.00
Last column: magnetic moment on the atom in μB.
Element x y z (fractional)
Br: 0.0000 0.5000 0.0000  0.02
Br: 0.5000 0.0000 0.0000  0.02
Se: 0.0000 0.0000 0.5000  -0.03
Tc: 0.0000 0.0000 0.0000  0.62
Ag: 0.5000 0.5000 0.5000  0.00

spin magnetization = 0.698 μB/f.u.
volume = 132 Å³ per cell

***

Computed energies relative to the best structure, in meV per atom: <a> 580; <b> 0

***

<a>
Here is a relaxed TlAg2SeBr crystal from Alexandria via LeMat-Bulk. Energies are from PBE-GGA.

Lattice parameters (Å, degrees): 4.5070 7.6098 8.8810 104.94 90.00 90.00
Element x y z (fractional)
Tl: 0.2500 0.9357 0.2244
Tl: 0.7500 0.0643 0.7756
Ag: 0.7500 0.5259 0.6886
Ag: 0.2500 0.4741 0.3114
Ag: 0.7500 0.4436 0.0797
Ag: 0.2500 0.5564 0.9203
Se: 0.2500 0.2419 0.0365
Se: 0.7500 0.7581 0.9635
Br: 0.2500 0.3061 0.5657
Br: 0.7500 0.6939 0.4343

spin magnetization = 0.000 μB/f.u.
volume = 294 Å³ per cell

***

<b>
Here is a relaxed TlAg2SeBr crystal from Alexandria via LeMat-Bulk. Energies are from PBE-GGA.

Lattice parameters (Å, degrees): 4.9574 4.9574 6.7202 90.00 90.00 90.00
Element x y z (fractional)
Tl: 0.0000 0.0000 0.5000
Se: 0.0000 0.0000 0.0000
Br: 0.5000 0.5000 0.5000
Ag: 0.0000 0.5000 0.0000
Ag: 0.5000 0.0000 0.0000

spin magnetization = 0.000 μB/f.u.
volume = 165 Å³ per cell

***

Computed energies relative to the best structure, in meV per atom: <a> 0; <b> 90

***

<a>
Here is a relaxed YAgSeBr2 crystal from Alexandria via LeMat-Bulk. Energies are from PBE-GGA.

Lattice parameters (Å, degrees): 5.5248 5.5248 5.5670 90.00 90.00 90.00
Element x y z (fractional)
Y: 0.0000 0.0000 0.0000
Se: 0.0000 0.0000 0.5000
Br: 0.0000 0.5000 0.0000
Br: 0.5000 0.0000 0.0000
Ag: 0.5000 0.5000 0.5000

spin magnetization = 0.000 μB/f.u.
volume = 170 Å³ per cell

***

<b>
Here is a relaxed YAgSeBr2 crystal from Alexandria via LeMat-Bulk. Energies are from PBE-GGA.

Lattice parameters (Å, degrees): 5.1737 5.1737 5.2937 90.00 90.00 90.00
Element x y z (fractional)
Y: 0.5000 0.5000 0.5000
Se: 0.0000 0.0000 0.5000
Br: 0.0000 0.5000 0.0000
Br: 0.5000 0.0000 0.0000
Ag: 0.0000 0.0000 0.0000

spin magnetization = 0.000 μB/f.u.
volume = 142 Å³ per cell

***

Computed energies relative to the best structure, in meV per atom: <a> 0; <b> 510

***

<a>
Here is a relaxed SiAg2Br crystal from Alexandria via LeMat-Bulk. Energies are from PBE-GGA.

Lattice parameters (Å, degrees): 4.4977 4.2866 4.2866 90.00 90.00 90.00
Element x y z (fractional)
Ag: 0.0000 0.0000 0.0000
Ag: 0.0000 0.5000 0.5000
Br: 0.5000 0.5000 0.0000
Si: 0.5000 0.0000 0.5000

spin magnetization = 0.000 μB/f.u.
volume = 83 Å³ per cell

***

<b>
Here is a relaxed SiAg2Br crystal from Alexandria via LeMat-Bulk. Energies are from PBE-GGA.

Lattice parameters (Å, degrees): 6.7517 6.7517 4.0688 102.71 102.71 29.42
Element x y z (fractional)
Ag: 0.9321 0.9321 0.0551
Ag: 0.2675 0.2675 0.1761
Br: 0.5512 0.5512 0.6337
Si: 0.7493 0.7493 0.6351

spin magnetization = 0.000 μB/f.u.
volume = 89 Å³ per cell

***

Computed energies relative to the best structure, in meV per atom: <a> 301; <b> 0

***

<a>
Here is a relaxed SiAg2Br crystal from Alexandria via LeMat-Bulk. Energies are from PBE-GGA.

Lattice parameters (Å, degrees): 3.2185 5.6834 4.5956 90.00 90.00 90.00
Element x y z (fractional)
Ag: 0.0000 0.0000 0.0000
Ag: 0.5000 0.5000 0.0000
Br: 0.5000 0.0000 0.5000
Si: 0.0000 0.5000 0.5000

spin magnetization = 0.000 μB/f.u.
volume = 84 Å³ per cell

***

<b>
Here is a relaxed SiAg2Br crystal from Alexandria via LeMat-Bulk. Energies are from PBE-GGA.

Lattice parameters (Å, degrees): 5.8628 3.8224 3.9726 90.05 90.00 90.00
Element x y z (fractional)
Ag: 0.0000 0.1247 0.1249
Ag: 0.5000 0.1256 0.1251
Br: 0.0000 0.6249 0.6249
Si: 0.5000 0.6248 0.6251

spin magnetization = 0.000 μB/f.u.
volume = 89 Å³ per cell

***

<c>
Here is a relaxed SiAg2Br crystal from Alexandria via LeMat-Bulk. Energies are from PBE-GGA.

Lattice parameters (Å, degrees): 3.4782 3.4782 6.9021 90.00 90.00 90.00
Element x y z (fractional)
Ag: 0.0000 0.0000 0.9855
Ag: 0.5000 0.5000 0.2247
Br: 0.0000 0.0000 0.4690
Si: 0.5000 0.5000 0.8208

spin magnetization = 0.000 μB/f.u.
volume = 84 Å³ per cell

***

<d>
Here is a relaxed SiAg2Br crystal from Alexandria via LeMat-Bulk. Energies are from PBE-GGA.

Lattice parameters (Å, degrees): 6.6976 6.6976 6.5609 59.31 59.31 90.00
Element x y z (fractional)
Si: 0.5000 0.5000 0.0000
Si: 0.2500 0.7500 0.5000
Br: 0.0000 0.0000 0.0000
Br: 0.7500 0.2500 0.5000
Ag: 0.5868 0.1250 0.2500
Ag: 0.1632 0.6250 0.2500
Ag: 0.3750 0.4132 0.7500
Ag: 0.8750 0.8368 0.7500

spin magnetization = 0.000 μB/f.u.
volume = 204 Å³ per cell

***

Computed energies relative to the best structure, in meV per atom: <a> 139; <b> 88; <c> 25; <d> 0